VAsIr2O | the Alexandria database | PBE+U | optimized geometry; total energy = -25.43 eV for the cell shown; symmetry = No. 123; crystal system = tetragonal; total magnetic moment = 0.00 μB per cell
1.0
-3.012 -0.924 -3.221
-1.281 -3.931 2.326
-3.122 2.346 2.246
As Ir V O
1 2 1 1
direct
0.000 0.000 0.000
0.000 0.000 0.500
0.500 0.000 0.000
0.000 0.500 0.000
0.500 0.500 0.500